(1)
Here is a crystal of NiSeCl2 relaxed with PBEsol from the Alexandria database. Energies are from SCAN.

Cell: 2.9006 6.1407 9.5958 Å, 90.00 90.00 90.00°
Closest atoms and distances in Å follow each position.
Space group Immm (No. 71)
One atom of each set of equivalent atoms:
Ni: 0.0000 0.0000 0.0000  4 Cl 2.15
Se: 0.0000 0.0000 0.5000  2 Se 2.90
Cl: 0.0000 0.5000 0.3348  2 Ni 2.15

Summary:
relative energy among the computed polymorphs = 0.3296 eV/atom
magnetization = 2.496 μB per cell

---

(2)
Here is a crystal of NiSe2Cl relaxed with PBEsol from the Alexandria database. Energies are from SCAN.

Cell: 6.3333 6.3333 8.7848 Å, 90.00 90.00 90.00°
Closest atoms and distances in Å follow each position.
Space group I-42d (No. 122)
One atom of each set of equivalent atoms:
Ni: 0.0000 0.0000 0.0000  4 Se 2.21
Se: 0.1716 0.7500 0.1250  2 Ni 2.21
Cl: 0.0000 0.0000 0.5000  4 Se 2.84

Summary:
relative energy among the computed polymorphs = 0.4747 eV/atom
magnetization = 0.001 μB per cell

---

(3)
Here is a crystal of NiSe2Cl relaxed with PBEsol from the Alexandria database. Energies are from SCAN.

Cell: 3.5713 3.5713 19.7418 Å, 90.00 90.00 120.00°
Closest atoms and distances in Å follow each position.
Space group R-3m (No. 166, hexagonal axes)
One atom of each set of equivalent atoms:
Ni: 0.0000 0.0000 0.0000  6 Se 2.36
Se: 0.0000 0.0000 0.2754  3 Ni 2.36
Cl: 0.0000 0.0000 0.5000  6 Se 2.98

Summary:
relative energy among the computed polymorphs = 0.0873 eV/atom
magnetization = 0.000 μB per cell

---

(4)
Here is a crystal of Ni2SeCl relaxed with PBEsol from the Alexandria database. Energies are from SCAN.

Cell: 4.3065 4.3065 2.9347 Å, 90.00 90.00 90.00°
Closest atoms and distances in Å follow each position.
Space group P4/mmm (No. 123)
One atom of each set of equivalent atoms:
Ni: 0.0000 0.5000 0.0000  4 Cl 2.61, 4 Se 2.61
Se: 0.0000 0.0000 0.5000  8 Ni 2.61
Cl: 0.5000 0.5000 0.5000  8 Ni 2.61

Summary:
magnetization = 0.008 μB per cell

---

(5)
Here is a crystal of NiSe2Cl relaxed with PBEsol from the Alexandria database. Energies are from SCAN.

Cell: 3.3403 5.0709 8.8851 Å, 90.00 90.00 90.00°
Closest atoms and distances in Å follow each position.
Space group Cmm2 (No. 35)
One atom of each set of equivalent atoms:
Ni: 0.0000 0.0000 0.0000  2 Cl 2.25, 2 Se 2.28
Se: 0.0000 0.0000 0.5264  8 Se 3.04-3.34
Se: 0.0000 0.5000 0.8254  2 Ni 2.28
Cl: 0.0000 0.5000 0.1694  2 Ni 2.25

Summary:
relative energy among the computed polymorphs = 0.4770 eV/atom
magnetization = 0.827 μB per cell

---

(6)
Here is a crystal of NiSe2Cl relaxed with PBEsol from the Alexandria database. Energies are from SCAN.

Cell: 6.2745 3.5478 6.7498 Å, 90.00 97.33 90.00°
Closest atoms and distances in Å follow each position.
Space group C2/m (No. 12)
One atom of each set of equivalent atoms:
Ni: 0.0000 0.0000 0.0000  6 Se 2.35-2.42
Se: 0.1853 0.5000 0.1727  3 Ni 2.35-2.42, 1 Cl 2.62
Cl: 0.0000 0.5000 0.5000  2 Se 2.62

Summary:
relative energy among the computed polymorphs = 0.0661 eV/atom
magnetization = 0.000 μB per cell

---

(7)
Here is a crystal of NiSeCl relaxed with PBEsol from the Alexandria database. Energies are from SCAN.

Cell: 3.3243 3.3243 5.7219 Å, 90.00 90.00 120.00°
Closest atoms and distances in Å follow each position.
Space group P3m1 (No. 156)
One atom of each set of equivalent atoms:
Ni: 0.0000 0.0000 0.0000  3 Se 2.35, 3 Cl 2.35
Se: 0.3333 0.6667 0.7629  3 Ni 2.35
Cl: 0.6667 0.3333 0.2375  3 Ni 2.35

Summary:
magnetization = 1.000 μB per cell

---

(8)
Here is a crystal of NiSe2Cl relaxed with PBEsol from the Alexandria database. Energies are from SCAN.

Cell: 4.5797 3.5652 4.8762 Å, 90.00 107.86 90.00°
Closest atoms and distances in Å follow each position.
Space group P2/m (No. 10)
One atom of each set of equivalent atoms:
Ni: 0.0000 0.0000 0.0000  4 Se 2.35, 2 Cl 2.44
Se: 0.3467 0.5000 0.1565  2 Ni 2.35, 1 Se 2.37
Cl: 0.0000 0.0000 0.5000  2 Ni 2.44

Summary:
relative energy among the computed polymorphs = 0.0000 eV/atom
magnetization = 0.013 μB per cell

---

(9)
Here is a crystal of NiSeCl2 relaxed with PBEsol from the Alexandria database. Energies are from SCAN.

Cell: 6.4522 6.4522 6.4522 Å, 90.00 90.00 90.00°
Closest atoms and distances in Å follow each position.
Space group Fm-3m (No. 225)
One atom of each set of equivalent atoms:
Ni: 0.0000 0.0000 0.0000  8 Cl 2.79
Se: 0.0000 0.0000 0.5000  8 Cl 2.79
Cl: 0.2500 0.2500 0.2500  4 Se 2.79, 4 Ni 2.79

Summary:
relative energy among the computed polymorphs = 1.2128 eV/atom
magnetization = 2.938 μB per cell

---

(10)
Here is a crystal of SiNiCl relaxed with PBEsol from the Alexandria database. Energies are from SCAN.

Cell: 5.8348 5.8348 5.8348 Å, 90.00 90.00 90.00°
Closest atoms and distances in Å follow each position.
Space group F-43m (No. 216)
One atom of each set of equivalent atoms:
Si: 0.0000 0.0000 0.0000  4 Cl 2.53
Ni: 0.0000 0.0000 0.5000  4 Cl 2.53
Cl: 0.2500 0.2500 0.2500  4 Ni 2.53, 4 Si 2.53

Summary:
relative energy among the computed polymorphs = 1.5996 eV/atom
magnetization = 0.000 μB per cell

---

(11)
Here is a crystal of SiNi2Cl relaxed with PBEsol from the Alexandria database. Energies are from SCAN.

Cell: 2.8756 2.8756 6.1455 Å, 90.00 90.00 90.00°
Closest atoms and distances in Å follow each position.
Space group P4/mmm (No. 123)
One atom of each set of equivalent atoms:
Si: 0.0000 0.0000 0.0000  8 Ni 2.38
Ni: 0.5000 0.5000 0.2016  4 Si 2.38, 1 Ni 2.48
Cl: 0.0000 0.0000 0.5000  8 Ni 2.74, 4 Cl 2.88

Summary:
magnetization = 0.000 μB per cell

---

(12)
Here is a crystal of SiNiCl relaxed with PBEsol from the Alexandria database. Energies are from SCAN.

Cell: 2.9933 2.9933 10.5713 Å, 90.00 90.00 90.00°
Closest atoms and distances in Å follow each position.
Space group I4mm (No. 107)
One atom of each set of equivalent atoms:
Si: 0.0000 0.0000 0.0000  1 Cl 2.11, 4 Ni 2.29
Ni: 0.0000 0.0000 0.5830  4 Si 2.29, 1 Cl 2.30
Cl: 0.0000 0.0000 0.8003  1 Si 2.11, 1 Ni 2.30

Summary:
relative energy among the computed polymorphs = 0.0000 eV/atom
magnetization = 0.000 μB per cell

---

| no. | electronic total energy (eV per atom) | formation energy (no corrections) (eV/atom) |
| --- | --- | --- |
| 1 | -13.171 | -0.119 |
| 2 | -15.971 | 0.106 |
| 3 | -16.358 | -0.281 |
| 4 | -14.733 | 0.367 |
| 5 | -15.968 | 0.109 |
| 6 | -16.379 | -0.302 |
| 7 | -15.278 | -0.535 |
| 8 | -16.445 | -0.368 |
| 9 | -12.288 | 0.764 |
| 10 | -10.170 | 1.219 |
| 11 | -12.634 | -0.049 |
| 12 | -11.770 | -0.381 |